1.
This record from Alexandria describes a relaxed structure of SnB3Pb. The functional is PBEsol.

a = 4.510 Å, b = 4.510 Å, c = 4.510 Å
α = 90.00°, β = 90.00°, γ = 90.00°
Space group Pm-3m (No. 221)
Inequivalent atoms, fractional coordinates:
Sn  0.000  0.000  0.000 (multiplicity 1)
B  0.000  0.000  0.500 (multiplicity 3)
Pb  0.500  0.500  0.500 (multiplicity 1)

Values from the calculation:
- Calculated volume: 91.7 Å³ per cell
- Energy: -3.89 eV per atom

=====

2.
This record from Alexandria describes a relaxed structure of Nb3Fe20B6. The functional is PBEsol.

a = 10.535 Å, b = 10.535 Å, c = 10.535 Å
α = 90.00°, β = 90.00°, γ = 90.00°
Space group Fm-3m (No. 225)
Inequivalent atoms, fractional coordinates:
Nb  0.000  0.000  0.000 (multiplicity 4)
Nb  0.250  0.250  0.250 (multiplicity 8)
Fe  0.000  0.173  0.173 (multiplicity 48)
Fe  0.115  0.115  0.385 (multiplicity 32)
B  0.000  0.000  0.270 (multiplicity 24)

Values from the calculation:
- Calculated volume: 1169.1 Å³ per cell
- Energy: -9.05 eV per atom

=====

3.
This record from Alexandria describes a relaxed structure of LiAgO2. The functional is PBEsol.

a = 5.340 Å, b = 4.712 Å, c = 3.616 Å
α = 90.00°, β = 90.00°, γ = 90.00°
Space group Pmna (No. 53)
Inequivalent atoms, fractional coordinates:
Li  0.000  0.000  0.000 (multiplicity 2)
Ag  0.000  0.500  0.500 (multiplicity 2)
O  0.250  0.254  0.250 (multiplicity 4)

Values from the calculation:
- Calculated volume: 91.0 Å³ per cell
- Energy relative to the elements, uncorrected: -3.2 eV/f.u.

=====

> Which of these has the highest calculated volume?

Nb3Fe20B6

=====

> Which of these has the highest calculated volume?

Nb3Fe20B6